(1)
Compound: Ac2Zn3Ge4Rh
Source: the Alexandria database
Functional: PBE
Structure: optimized geometry

Cell lengths 4.485, 4.485, 10.349 Å; angles 90.00, 90.00, 90.00 degrees
Fractional positions:
Ac (0.500, 0.000, 0.254)
Ac (0.000, 0.500, 0.746)
Zn (0.000, 0.000, 0.500)
Zn (0.500, 0.000, 0.869)
Zn (0.000, 0.500, 0.131)
Ge (0.500, 0.500, 0.000)
Ge (0.000, 0.000, 0.000)
Ge (0.500, 0.000, 0.622)
Ge (0.000, 0.500, 0.378)
Rh (0.500, 0.500, 0.500)

Calculated values
Total magnetic moment, μB per formula unit: 0.000
E_form, meV per atom: -518.8
Total energy, eV per atom: -4.305

(2)
Compound: Ac2ZrGe3Rh4
Source: the Alexandria database
Functional: PBE
Structure: optimized geometry

Cell lengths 4.288, 4.288, 11.086 Å; angles 90.00, 90.00, 90.00 degrees
Fractional positions:
Ac (0.500, 0.000, 0.239)
Ac (0.000, 0.500, 0.761)
Zr (0.500, 0.500, 0.500)
Ge (0.000, 0.000, 0.500)
Ge (0.500, 0.000, 0.880)
Ge (0.000, 0.500, 0.120)
Rh (0.500, 0.500, 0.000)
Rh (0.000, 0.000, 0.000)
Rh (0.500, 0.000, 0.646)
Rh (0.000, 0.500, 0.354)

Calculated values
Total magnetic moment, μB per formula unit: 0.000
E_form, meV per atom: -862.2
Total energy, eV per atom: -6.864

(3)
Compound: AcGe3Ru
Source: the Alexandria database
Functional: PBE
Structure: optimized geometry

Cell lengths 4.531, 4.531, 6.059 Å; angles 111.96, 111.96, 90.00 degrees
Fractional positions:
Ac (0.000, 0.000, 0.000)
Ge (0.257, 0.757, 0.513)
Ge (0.757, 0.257, 0.513)
Ge (0.421, 0.421, 0.842)
Ru (0.656, 0.656, 0.313)

Calculated values
Total magnetic moment, μB per formula unit: 0.000
ΔE to the lowest computed polymorph, meV/atom: 0.0
E_form, meV per atom: -598.2
Total energy, eV per atom: -6.045

(4)
Compound: Ac2Ge4Ru5
Source: the Alexandria database
Functional: PBE
Structure: optimized geometry

Cell lengths 6.083, 6.099, 7.363 Å; angles 78.11, 65.60, 60.09 degrees
Fractional positions:
Ac (0.868, 0.000, 0.263)
Ac (0.132, 0.000, 0.737)
Ge (0.475, 0.311, 0.738)
Ge (0.525, 0.689, 0.262)
Ge (0.214, 0.311, 0.262)
Ge (0.786, 0.689, 0.738)
Ru (0.500, 0.000, 0.000)
Ru (0.000, 0.500, 0.000)
Ru (0.500, 0.500, 0.000)
Ru (0.250, 0.500, 0.500)
Ru (0.750, 0.500, 0.500)

Calculated values
Total magnetic moment, μB per formula unit: 0.000
E_form, meV per atom: -495.9
Total energy, eV per atom: -7.138

(5)
Compound: AcGe3Ru
Source: the Alexandria database
Functional: PBE
Structure: optimized geometry

Cell lengths 5.775, 6.110, 6.463 Å; angles 90.00, 90.00, 90.00 degrees
Fractional positions:
Ac (0.417, 0.307, 0.701)
Ac (0.917, 0.046, 0.201)
Ge (0.350, 0.328, 0.201)
Ge (0.473, 0.826, 0.953)
Ge (0.973, 0.527, 0.453)
Ge (0.850, 0.025, 0.701)
Ge (0.973, 0.527, 0.948)
Ge (0.473, 0.826, 0.449)
Ru (0.165, 0.779, 0.701)
Ru (0.665, 0.574, 0.201)

Calculated values
Total magnetic moment, μB per formula unit: 0.000
ΔE to the lowest computed polymorph, meV/atom: 161.8
E_form, meV per atom: -436.4
Total energy, eV per atom: -5.884

(6)
Compound: Ac3GeRu
Source: the Alexandria database
Functional: PBE
Structure: optimized geometry

Cell lengths 5.620, 5.620, 5.620 Å; angles 90.00, 90.00, 90.00 degrees
Fractional positions:
Ru (0.000, 0.000, 0.000)
Ac (0.000, 0.500, 0.000)
Ac (0.000, 0.000, 0.500)
Ac (0.500, 0.000, 0.000)
Ge (0.500, 0.500, 0.500)

Calculated values
Total magnetic moment, μB per formula unit: 0.000
ΔE to the lowest computed polymorph, meV/atom: 160.4
E_form, meV per atom: -176.3
Total energy, eV per atom: -5.420

(7)
Compound: Ac12GeRu6
Source: the Alexandria database
Functional: PBE
Structure: optimized geometry

Cell lengths 9.259, 9.259, 9.259 Å; angles 109.47, 109.47, 109.47 degrees
Fractional positions:
Ac (0.305, 0.115, 0.810)
Ac (0.305, 0.494, 0.190)
Ac (0.695, 0.506, 0.810)
Ac (0.695, 0.885, 0.190)
Ac (0.115, 0.810, 0.305)
Ac (0.494, 0.190, 0.305)
Ac (0.506, 0.810, 0.695)
Ac (0.885, 0.190, 0.695)
Ac (0.810, 0.305, 0.115)
Ac (0.190, 0.305, 0.494)
Ac (0.810, 0.695, 0.506)
Ac (0.190, 0.695, 0.885)
Ge (0.000, 0.000, 0.000)
Ru (0.380, 0.500, 0.880)
Ru (0.620, 0.500, 0.120)
Ru (0.500, 0.880, 0.380)
Ru (0.500, 0.120, 0.620)
Ru (0.880, 0.380, 0.500)
Ru (0.120, 0.620, 0.500)

Calculated values
Total magnetic moment, μB per formula unit: 0.000
E_form, meV per atom: -143.6
Total energy, eV per atom: -5.911

(8)
Compound: Ac2GeRu2
Source: the Alexandria database
Functional: PBE
Structure: optimized geometry

Cell lengths 6.013, 6.013, 7.955 Å; angles 77.07, 77.07, 59.17 degrees
Fractional positions:
Ac (0.497, 0.210, 0.145)
Ac (0.790, 0.503, 0.355)
Ac (0.503, 0.790, 0.855)
Ac (0.210, 0.497, 0.645)
Ge (0.097, 0.903, 0.250)
Ge (0.903, 0.097, 0.750)
Ru (0.724, 0.012, 0.517)
Ru (0.988, 0.276, 0.983)
Ru (0.276, 0.988, 0.483)
Ru (0.012, 0.724, 0.017)

Calculated values
Total magnetic moment, μB per formula unit: 0.000
E_form, meV per atom: -338.7
Total energy, eV per atom: -6.616

What did the eighth record say?
Compound: Ac2GeRu2
Source: the Alexandria database
Functional: PBE
Structure: optimized geometry

Cell lengths 6.013, 6.013, 7.955 Å; angles 77.07, 77.07, 59.17 degrees
Fractional positions:
Ac (0.497, 0.210, 0.145)
Ac (0.790, 0.503, 0.355)
Ac (0.503, 0.790, 0.855)
Ac (0.210, 0.497, 0.645)
Ge (0.097, 0.903, 0.250)
Ge (0.903, 0.097, 0.750)
Ru (0.724, 0.012, 0.517)
Ru (0.988, 0.276, 0.983)
Ru (0.276, 0.988, 0.483)
Ru (0.012, 0.724, 0.017)

Calculated values
Total magnetic moment, μB per formula unit: 0.000
E_form, meV per atom: -338.7
Total energy, eV per atom: -6.616

Q: What is the total magnetic moment in the eighth record?
A: 0.000 μB per formula unit

Q: Which value of total magnetic moment does entry 3 give?
A: 0.000 μB per formula unit

Q: What is the formula in the third record?
A: AcGe3Ru